1.
! GdCdAg2 | Alexandria | SCAN | PBEsol geometry; values from VASP
! * space-group type: Fm-3m (225)
&SYSTEM
  ibrav = 0, nat = 4, ntyp = 3
/
ATOMIC_SPECIES
Gd 157.25 Gd.upf
Ag 107.87 Ag.upf
Cd 112.41 Cd.upf
CELL_PARAMETERS angstrom
4.876 0.000 0.000
2.438 4.223 0.000
2.438 1.408 3.981
ATOMIC_POSITIONS crystal
Gd 0.000 0.000 0.000
Ag 0.750 0.750 0.750
Ag 0.250 0.250 0.250
Cd 0.500 0.500 0.500

***

2.
! CaFe2Ni2 | Alexandria | SCAN | PBEsol geometry; values from VASP
! * space-group type: I4/mmm (139)
&SYSTEM
  ibrav = 0, nat = 5, ntyp = 3
/
ATOMIC_SPECIES
Ni 58.69 Ni.upf
Ca 40.08 Ca.upf
Fe 55.84 Fe.upf
CELL_PARAMETERS angstrom
3.902 0.000 0.000
0.000 3.902 0.000
-1.951 -1.951 4.892
ATOMIC_POSITIONS crystal
Ni 0.380 0.380 0.761
Ni 0.620 0.620 0.239
Ca 0.000 0.000 0.000
Fe 0.250 0.750 0.500
Fe 0.750 0.250 0.500

***

In order of appearance, energy relative to the elements = -271, 35 meV/atom.